Arrangement a

Here is a relaxed structure of Al2SnBi from Alexandria. Energies are from PBE-GGA.

Unit cell a=7.717 b=7.717 c=7.717 alpha=130.75 beta=130.75 gamma=72.20
Atoms (fractional coordinates):
Al 0.114 0.625 0.989
Al 0.375 0.364 0.489
Al 0.636 0.125 0.011
Al 0.875 0.886 0.511
Sn 0.000 0.000 0.000
Sn 0.750 0.250 0.500
Bi 0.250 0.750 0.500
Bi 0.500 0.500 0.000

Arrangement b

Here is a relaxed structure of Al2SnBi from Alexandria. Energies are from PBE-GGA.

Unit cell a=5.138 b=5.138 c=5.138 alpha=60.00 beta=60.00 gamma=60.00
Atoms (fractional coordinates):
Al 0.250 0.250 0.250
Al 0.750 0.750 0.750
Sn 0.000 0.000 0.000
Bi 0.500 0.500 0.500

Which one sits at the top of the stability order? arrangement a does.

Arrangement a

Here is a relaxed structure of Al2SnBi2 from Alexandria. Energies are from PBE-GGA.

Unit cell a=7.897 b=7.897 c=4.157 alpha=90.00 beta=90.00 gamma=90.00
Atoms (fractional coordinates):
Al 0.121 0.379 0.000
Al 0.379 0.879 0.000
Al 0.621 0.121 0.000
Al 0.879 0.621 0.000
Sn 0.000 0.000 0.000
Sn 0.500 0.500 0.000
Bi 0.184 0.684 0.500
Bi 0.316 0.184 0.500
Bi 0.684 0.816 0.500
Bi 0.816 0.316 0.500

Arrangement b

Here is a relaxed structure of Al2SnBi2 from Alexandria. Energies are from PBE-GGA.

Unit cell a=9.048 b=9.048 c=3.345 alpha=90.00 beta=90.00 gamma=90.00
Atoms (fractional coordinates):
Al 0.108 0.392 0.000
Al 0.392 0.892 0.000
Al 0.608 0.108 0.000
Al 0.892 0.608 0.000
Sn 0.000 0.000 0.500
Sn 0.500 0.500 0.500
Bi 0.188 0.688 0.500
Bi 0.312 0.188 0.500
Bi 0.688 0.812 0.500
Bi 0.812 0.312 0.500

Which one sits at the top of the stability order? arrangement a does.

Arrangement a

Here is a relaxed structure of AlSnBi3 from Alexandria. Energies are from PBE-GGA.

Unit cell a=5.825 b=5.825 c=5.825 alpha=90.00 beta=90.00 gamma=90.00
Atoms (fractional coordinates):
Al 0.000 0.000 0.000
Sn 0.500 0.500 0.500
Bi 0.000 0.500 0.500
Bi 0.500 0.000 0.500
Bi 0.500 0.500 0.000

Arrangement b

Here is a relaxed structure of AlSnBi3 from Alexandria. Energies are from PBE-GGA.

Unit cell a=5.483 b=5.483 c=5.483 alpha=90.00 beta=90.00 gamma=90.00
Atoms (fractional coordinates):
Al 0.000 0.000 0.000
Sn 0.500 0.500 0.500
Bi 0.000 0.000 0.500
Bi 0.000 0.500 0.000
Bi 0.500 0.000 0.000

Which one sits at the top of the stability order? arrangement b does.